Entry 1:
A plane-wave DFT calculation with PBE was carried out for crystalline Ce2C2F at its relaxed geometry.

Properties
- formation energy without anion corrections (eV/atom) = -1.237

Lattice parameters (Å, degrees): 7.0397 7.0397 6.5012 106.69 106.69 34.76
Last column: nearest neighbours and their distance in Å.
Fractional positions:
Ce: 0.0268 0.6837 0.8826  3 C 2.33-2.59, 1 F 2.60
Ce: 0.3163 0.9732 0.6174  3 C 2.33-2.59, 1 F 2.60
Ce: 0.6837 0.0268 0.3826  3 C 2.33-2.59, 1 F 2.60
Ce: 0.9732 0.3163 0.1174  3 C 2.33-2.59, 1 F 2.60
C: 0.1562 0.4084 0.4843  1 C 1.41
C: 0.4084 0.1562 0.9843  1 C 1.41
C: 0.5916 0.8438 0.0157  1 C 1.41
C: 0.8438 0.5916 0.5157  1 C 1.41
F: 0.1053 0.8947 0.2500  4 Ce 2.60-2.63
F: 0.8947 0.1053 0.7500  4 Ce 2.60-2.63

=====

Entry 2:
A plane-wave DFT calculation with PBE was carried out for crystalline Tb6Sm8Th at its relaxed geometry.

Properties
- ΔH_f (0 K) (meV per atom) = 122

Lattice parameters (Å, degrees): 8.7265 8.7265 8.7265 62.99 62.99 62.99
Last column: nearest neighbours and their distance in Å.
Fractional positions:
Tb: 0.0373 0.5990 0.7407  4 Sm 3.39-3.77, 1 Th 3.50, 4 Tb 3.53-3.80
Tb: 0.2593 0.9627 0.4010  4 Sm 3.39-3.77, 1 Th 3.50, 4 Tb 3.53-3.80
Tb: 0.4010 0.2593 0.9627  4 Sm 3.39-3.77, 1 Th 3.50, 4 Tb 3.53-3.80
Tb: 0.5990 0.7407 0.0373  4 Sm 3.39-3.77, 1 Th 3.50, 4 Tb 3.53-3.80
Tb: 0.7407 0.0373 0.5990  4 Sm 3.39-3.77, 1 Th 3.50, 4 Tb 3.53-3.80
Tb: 0.9627 0.4010 0.2593  4 Sm 3.39-3.77, 1 Th 3.50, 4 Tb 3.53-3.80
Sm: 0.0777 0.0777 0.0777  4 Sm 3.24-3.44, 3 Tb 3.39
Sm: 0.2179 0.6139 0.2532  3 Tb 3.40-3.77, 5 Sm 3.43-3.48, 1 Th 3.51
Sm: 0.2532 0.2179 0.6139  3 Tb 3.40-3.77, 5 Sm 3.44-3.48, 1 Th 3.51
Sm: 0.3861 0.7468 0.7821  3 Tb 3.40-3.77, 5 Sm 3.43-3.48, 1 Th 3.51
Sm: 0.6139 0.2532 0.2179  3 Tb 3.40-3.77, 5 Sm 3.44-3.48, 1 Th 3.51
Sm: 0.7468 0.7821 0.3861  3 Tb 3.40-3.77, 5 Sm 3.44-3.48, 1 Th 3.51
Sm: 0.7821 0.3861 0.7468  3 Tb 3.40-3.77, 5 Sm 3.44-3.48, 1 Th 3.51
Sm: 0.9223 0.9223 0.9223  4 Sm 3.24-3.44, 3 Tb 3.39
Th: 0.5000 0.5000 0.5000  6 Tb 3.50, 6 Sm 3.51